Entry from Alexandria via LeMat-Bulk: a relaxed TiCdSi3 crystal (PBE).

Computed properties:
Total magnetization in μB per atom: 0.00
Space-group type: No. 221
Uncorrected energy in eV per atom: -4.448
Distance to the lowest polymorph of the same formula in meV per atom: 0
Formation energy from raw total energies in meV per atom: 568

Cell: 4.8323 4.8323 4.8323 Å, 90.00 90.00 90.00°
Fractional coordinates of all 5 atoms:
Cd 0.5000 0.5000 0.5000
Ti 0.0000 0.0000 0.0000
Si 0.5000 0.0000 0.0000
Si 0.0000 0.0000 0.5000
Si 0.0000 0.5000 0.0000